# 1
DFT (GGA-PBE) results for CdRhN2F after structural relaxation.

Results
distance to the lowest polymorph of the same formula = 1170 meV/atom
magnetization = 1.247 Bohr magnetons per cell
SG = P4/mmm
Fermi-level density of states = 9.0 states/eV/f.u.
E_tot = -3.686 eV/atom
uncorrected formation energy = 8.36 eV per formula unit

abc: 4.1979 4.1979 4.3340
angles: 90.00 90.00 90.00
With the nearest neighbours (Å) after each atom.
Fractional positions:
N: 0.5000 0.0000 0.0000  2 Cd 2.10
N: 0.0000 0.5000 0.0000  2 Cd 2.10
F: 0.0000 0.0000 0.5000  2 Cd 2.17
Rh: 0.5000 0.5000 0.5000  4 F 2.97, 8 N 3.02
Cd: 0.0000 0.0000 0.0000  4 N 2.10, 2 F 2.17

=====

# 2
DFT (GGA-PBE) results for La3Te2Pb after structural relaxation.

Results
magnetization = 0.000 Bohr magnetons per cell
SG = Immm
Fermi-level density of states = 2.9 states/eV/f.u.
E_tot = -5.438 eV/atom
uncorrected formation energy = -7.85 eV per formula unit

abc: 4.6581 6.5313 7.9859
angles: 114.14 106.96 90.00
With the nearest neighbours (Å) after each atom.
Fractional positions:
Pb: 0.0000 0.5000 0.0000  6 La 3.25-3.27
Te: 0.3330 0.8330 0.6659  6 La 3.27-3.29
Te: 0.6670 0.1670 0.3341  6 La 3.27-3.29
La: 0.0000 0.0000 0.0000  2 Pb 3.27, 4 Te 3.28
La: 0.3356 0.3356 0.6713  2 Pb 3.25, 4 Te 3.27-3.29
La: 0.6644 0.6644 0.3287  2 Pb 3.25, 4 Te 3.27-3.29